[1]
Here is a geometry-optimized HgOsPb3 structure from Alexandria. Energies are from PBE-GGA.

Results
Total DFT energy (no corrections)   -20.5 eV per cell

Cell: 5.320 5.320 5.320 Å, 90.00 90.00 90.00°
Positions (direct):
Pb1 0.000 0.500 0.000
Pb2 0.500 0.000 0.000
Pb3 0.000 0.000 0.500
Os1 0.000 0.000 0.000
Hg1 0.500 0.500 0.500

=====

[2]
Here is a geometry-optimized CaTl2Si structure from Alexandria. Energies are from PBE-GGA.

Results
Formation energy from raw total energies   0.04 eV per atom

Cell: 5.339 5.339 5.339 Å, 60.00 60.00 60.00°
Positions (direct):
Tl1 0.000 0.000 0.000
Tl2 0.250 0.250 0.250
Si1 0.750 0.750 0.750
Ca1 0.500 0.500 0.500

=====

Repeat the second record exactly.
Here is a geometry-optimized CaTl2Si structure from Alexandria. Energies are from PBE-GGA.

Results
Formation energy from raw total energies   0.04 eV per atom

Cell: 5.339 5.339 5.339 Å, 60.00 60.00 60.00°
Positions (direct):
Tl1 0.000 0.000 0.000
Tl2 0.250 0.250 0.250
Si1 0.750 0.750 0.750
Ca1 0.500 0.500 0.500

=====

Please write out number 2 again, unchanged.
Here is a geometry-optimized CaTl2Si structure from Alexandria. Energies are from PBE-GGA.

Results
Formation energy from raw total energies   0.04 eV per atom

Cell: 5.339 5.339 5.339 Å, 60.00 60.00 60.00°
Positions (direct):
Tl1 0.000 0.000 0.000
Tl2 0.250 0.250 0.250
Si1 0.750 0.750 0.750
Ca1 0.500 0.500 0.500